Entry 1:
Compound: Be2IrSe
Source: Alexandria
Functional: PBE
Structure: optimized geometry

```
Be2IrSe
1.0
5.909 0.000 0.000
0.000 5.909 0.000
0.000 0.000 5.909
Be Ir Se
8 4 4
Direct
0.000 0.000 0.000
0.000 0.500 0.500
0.250 0.250 0.250
0.250 0.750 0.750
0.500 0.000 0.500
0.500 0.500 0.000
0.750 0.250 0.750
0.750 0.750 0.250
0.000 0.000 0.500
0.000 0.500 0.000
0.500 0.000 0.000
0.500 0.500 0.500
0.250 0.250 0.750
0.250 0.750 0.250
0.750 0.250 0.250
0.750 0.750 0.750
```

Results
V (Å³/cell): 206
Uncorrected formation energy (eV/atom): 0.35
ρ (Mg/m³): 9.31
Energy (eV per formula unit): -18.4


Entry 2:
Compound: Be4IrSe
Source: Alexandria
Functional: PBE
Structure: optimized geometry

```
Be4IrSe
1.0
0.000 3.186 3.186
3.186 0.000 3.186
3.186 3.186 0.000
Be Ir Se
4 1 1
Direct
0.123 0.123 0.123
0.123 0.123 0.631
0.123 0.631 0.123
0.631 0.123 0.123
0.750 0.750 0.750
0.500 0.500 0.500
```

Results
V (Å³/cell): 65
Uncorrected formation energy (eV/atom): 0.08
ρ (Mg/m³): 7.89
Energy (eV per formula unit): -26.8